LaPtBr2 | PBEsol | optimized geometry Values from VASP.

```
&SYSTEM
  ibrav = 0, nat = 4, ntyp = 3
/
ATOMIC_SPECIES
Pt 195.08 Pt.upf
Br 79.90 Br.upf
La 138.91 La.upf
ATOMIC_POSITIONS angstrom
Pt 0.000 2.161 2.386
Br 0.000 0.000 0.000
Br 2.161 0.000 2.386
La 2.161 2.161 0.000
CELL_PARAMETERS angstrom
4.322 0.000 0.000
0.000 4.322 0.000
-2.161 -2.161 4.772
```

Summary:
Space group ... I-4m2, No. 119



LaPtBr2 | PBEsol | optimized geometry Values from VASP.

```
&SYSTEM
  ibrav = 0, nat = 4, ntyp = 3
/
ATOMIC_SPECIES
Pt 195.08 Pt.upf
Br 79.90 Br.upf
La 138.91 La.upf
ATOMIC_POSITIONS angstrom
Pt -4.019 -4.714 -0.833
Br -4.424 -5.078 -3.444
Br -3.614 -4.351 1.778
La 0.000 0.000 0.000
CELL_PARAMETERS angstrom
-3.072 -0.387 -2.597
0.012 -2.996 -2.713
-4.978 -6.045 3.644
```

Summary:
Space group ... R-3m, No. 166



Values for DFT total energy, eV per formula unit, ordered as above
-19.70; -16.21
Values for energy relative to the elements, uncorrected, eV per atom, ordered as above
-0.9114; -0.0400
Values for E above lowest polymorph, meV per atom, ordered as above
26; 897